Record 1
First-principles (PBE) data for NdGa8Ni4 after structural relaxation, as listed in the Alexandria database.

The structure in POSCAR format:
```
NdGa8Ni4
1.0
5.188 0.000 0.000
2.594 6.130 0.000
2.594 0.000 6.130
Nd Ga Ni
1 8 4
Direct
0.000 0.000 0.000
0.000 0.344 0.656
0.000 0.656 0.344
0.344 0.656 0.656
0.656 0.344 0.344
0.500 0.776 0.224
0.500 0.224 0.776
0.276 0.224 0.224
0.724 0.776 0.776
0.000 0.000 0.500
0.500 0.000 0.500
0.000 0.500 0.000
0.500 0.500 0.000
```

Values from the calculation:
Total magnetic moment ... 0.000 μB per atom
Energy ... -57.66 eV for the cell shown
SG ... I4/mmm
Energy of formation ... -0.427 eV/atom


Record 2
First-principles (PBE) data for Nd8Ga2Ni after structural relaxation, as listed in the Alexandria database.

The structure in POSCAR format:
```
Nd8Ga2Ni
1.0
-3.062 3.629 -1.670
-0.735 -3.361 -5.954
-5.461 -5.330 6.017
Nd Ga Ni
8 2 1
Direct
0.408 0.537 0.815
0.652 0.979 0.304
0.790 0.689 0.581
0.981 0.219 0.962
0.210 0.311 0.419
0.348 0.021 0.696
0.592 0.463 0.185
0.019 0.781 0.038
0.814 0.251 0.629
0.186 0.749 0.371
0.500 0.000 0.000
```

Values from the calculation:
Energy above the lowest structure with this stoichiometry ... 0.0000 eV per atom
Total magnetic moment ... 0.000 μB per atom
Energy ... -52.59 eV for the cell shown
SG ... C2/m
Energy of formation ... -0.238 eV/atom


Record 3
First-principles (PBE) data for Nd2Ga9Ni3 after structural relaxation, as listed in the Alexandria database.

The structure in POSCAR format:
```
Nd2Ga9Ni3
1.0
6.931 -0.017 -2.905
-4.070 6.318 -0.019
0.376 0.253 10.560
Nd Ga Ni
4 18 6
Direct
0.333 0.249 0.749
0.667 0.751 0.251
0.000 0.584 0.751
0.000 0.416 0.249
0.458 0.917 0.749
0.542 0.083 0.251
0.668 0.709 0.751
0.332 0.291 0.249
0.456 0.646 0.932
0.544 0.354 0.068
0.213 0.524 0.568
0.787 0.476 0.432
0.876 0.126 0.750
0.124 0.874 0.250
0.130 0.982 0.945
0.870 0.018 0.055
0.537 0.185 0.555
0.463 0.815 0.445
0.877 0.856 0.569
0.123 0.144 0.431
0.787 0.308 0.931
0.213 0.692 0.069
0.500 0.000 0.000
0.500 0.500 0.500
0.836 0.168 0.499
0.164 0.832 0.501
0.169 0.337 0.001
0.831 0.663 0.999
```

Values from the calculation:
Total magnetic moment ... 0.000 μB per atom
Energy ... -122.19 eV for the cell shown
SG ... C2/c
Energy of formation ... -0.498 eV/atom


Record 4
First-principles (PBE) data for Nd2Ga5Ni after structural relaxation, as listed in the Alexandria database.

The structure in POSCAR format:
```
Nd2Ga5Ni
1.0
-1.516 -5.927 1.343
-0.148 2.189 -5.866
5.921 2.025 0.261
Nd Ga Ni
2 5 1
Direct
0.500 0.241 0.741
0.500 0.741 0.241
0.441 0.712 0.712
0.000 0.712 0.271
0.000 0.271 0.712
0.559 0.271 0.271
0.000 0.268 0.268
0.000 0.005 0.005
```

Values from the calculation:
Total magnetic moment ... 0.000 μB per atom
Energy ... -34.28 eV for the cell shown
SG ... I4mm
Energy of formation ... -0.478 eV/atom


Record 5
First-principles (PBE) data for Nd3Ga9Ni2 after structural relaxation, as listed in the Alexandria database.

The structure in POSCAR format:
```
Nd3Ga9Ni2
1.0
4.262 0.000 0.000
2.131 7.949 -0.051
2.131 1.752 7.753
Nd Ga Ni
3 9 2
Direct
0.000 0.000 0.000
0.681 0.319 0.319
0.319 0.681 0.681
0.000 0.500 0.500
0.662 0.971 0.705
0.338 0.029 0.295
0.662 0.705 0.971
0.338 0.295 0.029
0.877 0.846 0.401
0.123 0.154 0.599
0.877 0.401 0.846
0.123 0.599 0.154
0.500 0.277 0.723
0.500 0.723 0.277
```

Values from the calculation:
Total magnetic moment ... 0.000 μB per atom
Energy ... -61.05 eV for the cell shown
SG ... Immm
Energy of formation ... -0.568 eV/atom


Record 6
First-principles (PBE) data for Nd2Ga3Ni after structural relaxation, as listed in the Alexandria database.

The structure in POSCAR format:
```
Nd2Ga3Ni
1.0
4.122 0.000 1.726
1.918 5.222 1.205
-0.004 -0.295 5.795
Nd Ga Ni
2 3 1
Direct
0.542 0.207 0.709
0.450 0.798 0.301
0.853 0.604 0.689
0.823 0.235 0.119
0.163 0.764 0.910
0.168 0.392 0.272
```

Values from the calculation:
Total magnetic moment ... 0.000 μB per atom
Energy ... -28.00 eV for the cell shown
SG ... Cm
Energy of formation ... -0.600 eV/atom


Record 7
First-principles (PBE) data for Nd2Ga3Ni after structural relaxation, as listed in the Alexandria database.

The structure in POSCAR format:
```
Nd2Ga3Ni
1.0
-3.504 -0.764 1.457
1.764 -0.591 3.932
-0.974 7.433 1.555
Nd Ga Ni
2 3 1
Direct
0.000 0.500 0.014
0.000 0.000 0.488
0.500 0.000 0.835
0.500 0.000 0.174
0.500 0.500 0.656
0.500 0.500 0.332
```

Values from the calculation:
Total magnetic moment ... 0.000 μB per atom
Energy ... -28.02 eV for the cell shown
SG ... Pmm2
Energy of formation ... -0.604 eV/atom


Record 8
First-principles (PBE) data for NdGa2Ni6 after structural relaxation, as listed in the Alexandria database.

The structure in POSCAR format:
```
NdGa2Ni6
1.0
-1.194 1.932 7.141
3.552 -3.633 5.508
5.389 3.452 3.899
Nd Ga Ni
2 4 12
Direct
0.500 0.500 0.500
0.750 0.750 0.750
0.125 0.125 0.125
0.125 0.625 0.125
0.125 0.125 0.625
0.625 0.125 0.125
0.252 0.252 0.748
0.748 0.748 0.252
0.252 0.748 0.252
0.252 0.748 0.748
0.502 0.502 0.998
0.502 0.998 0.998
0.748 0.252 0.748
0.998 0.998 0.502
0.502 0.998 0.502
0.998 0.502 0.502
0.748 0.252 0.252
0.998 0.502 0.998
```

Values from the calculation:
Total magnetic moment ... 0.000 μB per atom
Energy ... -87.68 eV for the cell shown
SG ... Fd-3m
Energy of formation ... 0.185 eV/atom